Density functional theory data (PBE) for CeY5Cd3 after structural relaxation.

Cell lengths 6.8612, 9.2705, 9.2702 Å; angles 120.00, 90.00, 90.00 degrees
Fractional coordinates of all 18 atoms:
Ce 0.0000 0.0000 0.0000
Ce 0.5000 0.0000 0.0000
Y 0.0000 0.6667 0.3333
Y 0.5000 0.3333 0.6667
Y 0.0000 0.3333 0.6667
Y 0.5000 0.6667 0.3333
Y 0.7500 0.6726 0.6726
Y 0.7500 0.0000 0.3274
Y 0.7500 0.3274 0.0000
Y 0.2500 0.3274 0.3274
Y 0.2500 0.0000 0.6726
Y 0.2500 0.6726 0.0000
Cd 0.7500 0.3425 0.3425
Cd 0.7500 0.0000 0.6575
Cd 0.7500 0.6575 0.0000
Cd 0.2500 0.6575 0.6575
Cd 0.2500 0.0000 0.3425
Cd 0.2500 0.3425 0.0000

ΔH_f (0 K) ... -15.8 kJ/mol of atoms
Fermi-level density of states ... 26.055 states/eV per cell
VASP energy ... -42.5 eV/f.u.
Magnetic moment ... 2.0 μB/f.u.
Theoretical density ... 6.0 Mg/m³


Density functional theory data (PBE) for Li2FeCuRh after structural relaxation.

Cell lengths 4.2104, 4.3859, 4.2104 Å; angles 90.00, 90.00, 90.00 degrees
Fractional coordinates of all 5 atoms:
Rh 0.5000 0.5000 0.5000
Fe 0.0000 0.0000 0.0000
Cu 0.0000 0.5000 0.0000
Li 0.0000 0.0000 0.5000
Li 0.5000 0.0000 0.0000

ΔH_f (0 K) ... 97.6 kJ/mol of atoms
Fermi-level density of states ... 6.436 states/eV per cell
VASP energy ... -18.7 eV/f.u.
Magnetic moment ... 3.2 μB/f.u.
Theoretical density ... 5.0 Mg/m³


Density functional theory data (PBE) for Ca2Cr2P after structural relaxation.

Cell lengths 4.6319, 4.6319, 6.6499 Å; angles 69.62, 69.62, 90.00 degrees
Fractional coordinates of all 5 atoms:
Cr 0.4265 0.4265 0.1471
Cr 0.5735 0.5735 0.8529
Ca 0.7500 0.2500 0.5000
Ca 0.2500 0.7500 0.5000
P 0.0000 0.0000 0.0000

ΔH_f (0 K) ... 105.3 kJ/mol of atoms
Polymorph energy (0 for the lowest one) ... 871 meV/atom
Fermi-level density of states ... 4.300 states/eV per cell
VASP energy ... -23.2 eV/f.u.
Magnetic moment ... 0.0 μB/f.u.
Theoretical density ... 2.9 Mg/m³